No. 1
Here is a relaxed structure of CsErO3 from OQMD. Energies are from PBE.

- Uncorrected energy: -29.64 eV per cell
- ρ: 6.47 g cm⁻³
- Space-group type: No. 99

```
data_CsErO3
_space_group_name_H-M_alt 'P 1'
_space_group_IT_number 1
_space_group_name_Hall 'P 1'
_cell_length_a 4.4663
_cell_length_b 4.4663
_cell_length_c 4.4803
_cell_angle_alpha 90.00
_cell_angle_beta 90.00
_cell_angle_gamma 90.00
loop_
_atom_site_label
_atom_site_type_symbol
_atom_site_fract_x
_atom_site_fract_y
_atom_site_fract_z
_atom_site_occupancy
O1 O 0.5000 0.0000 0.5820 1
O2 O 0.5000 0.5000 0.0784 1
Er1 Er 0.5000 0.5000 0.5786 1
O3 O 0.0000 0.5000 0.5820 1
Cs1 Cs 0.0000 0.0000 0.0789 1
```

---

No. 2
Here is a relaxed structure of GdCoCl6 from OQMD. Energies are from PBE.

- Uncorrected energy: -33.82 eV per cell
- ρ: 3.39 g cm⁻³
- Space-group type: No. 5

```
data_GdCoCl6
_space_group_name_H-M_alt 'P 1'
_space_group_IT_number 1
_space_group_name_Hall 'P 1'
_cell_length_a 6.3719
_cell_length_b 6.3719
_cell_length_c 6.3387
_cell_angle_alpha 99.73
_cell_angle_beta 99.73
_cell_angle_gamma 119.92
loop_
_atom_site_label
_atom_site_type_symbol
_atom_site_fract_x
_atom_site_fract_y
_atom_site_fract_z
_atom_site_occupancy
Cl1 Cl 0.8031 0.7553 0.7699 1
Gd1 Gd 0.8336 0.1664 0.0000 1
Cl2 Cl 0.0930 0.4709 0.7711 1
Cl3 Cl 0.9527 0.6226 0.2245 1
Cl4 Cl 0.2447 0.1969 0.2301 1
Cl5 Cl 0.3774 0.0473 0.7755 1
Cl6 Cl 0.5291 0.9070 0.2289 1
Co1 Co 0.1665 0.8335 0.0000 1
```

---

No. 3
Here is a relaxed structure of BaZn2 from OQMD. Energies are from PBE.

- Uncorrected energy: -9.53 eV per cell
- ρ: 5.80 g cm⁻³
- Space-group type: No. 227

```
data_BaZn2
_space_group_name_H-M_alt 'P 1'
_space_group_IT_number 1
_space_group_name_Hall 'P 1'
_cell_length_a 6.0121
_cell_length_b 6.0121
_cell_length_c 6.0121
_cell_angle_alpha 60.00
_cell_angle_beta 60.00
_cell_angle_gamma 60.00
loop_
_atom_site_label
_atom_site_type_symbol
_atom_site_fract_x
_atom_site_fract_y
_atom_site_fract_z
_atom_site_occupancy
Zn1 Zn 0.6250 0.1250 0.1250 1
Zn2 Zn 0.1250 0.6250 0.1250 1
Ba1 Ba 0.7500 0.7500 0.7500 1
Ba2 Ba 0.5000 0.5000 0.5000 1
Zn3 Zn 0.1250 0.1250 0.1250 1
Zn4 Zn 0.1250 0.1250 0.6250 1
```

---

No. 4
Here is a relaxed structure of Nb2AlAu from OQMD. Energies are from PBE.

- Uncorrected energy: -26.91 eV per cell
- ρ: 9.74 g cm⁻³
- Space-group type: No. 216

```
data_Nb2AlAu
_space_group_name_H-M_alt 'P 1'
_space_group_IT_number 1
_space_group_name_Hall 'P 1'
_cell_length_a 4.6232
_cell_length_b 4.6232
_cell_length_c 4.6232
_cell_angle_alpha 60.00
_cell_angle_beta 60.00
_cell_angle_gamma 60.00
loop_
_atom_site_label
_atom_site_type_symbol
_atom_site_fract_x
_atom_site_fract_y
_atom_site_fract_z
_atom_site_occupancy
Nb1 Nb 0.7500 0.7500 0.7500 1
Au1 Au 0.2500 0.2500 0.2500 1
Al1 Al 0.5000 0.5000 0.5000 1
Nb2 Nb 0.0000 0.0000 0.0000 1
```

---

No. 5
Here is a relaxed structure of Li4Cd2GaPd from OQMD. Energies are from PBE.

- Uncorrected energy: -20.30 eV per cell
- ρ: 5.46 g cm⁻³
- Space-group type: No. 115

```
data_Li4Cd2GaPd
_space_group_name_H-M_alt 'P 1'
_space_group_IT_number 1
_space_group_name_Hall 'P 1'
_cell_length_a 4.5057
_cell_length_b 4.5057
_cell_length_c 6.4175
_cell_angle_alpha 90.00
_cell_angle_beta 90.00
_cell_angle_gamma 90.00
loop_
_atom_site_label
_atom_site_type_symbol
_atom_site_fract_x
_atom_site_fract_y
_atom_site_fract_z
_atom_site_occupancy
Li1 Li 0.5000 0.0000 0.7382 1
Li2 Li 0.0000 0.0000 0.5000 1
Cd1 Cd 0.5000 0.0000 0.2514 1
Li3 Li 0.5000 0.5000 0.0000 1
Ga1 Ga 0.0000 0.0000 0.0000 1
Pd1 Pd 0.5000 0.5000 0.5000 1
Li4 Li 0.0000 0.5000 0.2618 1
Cd2 Cd 0.0000 0.5000 0.7486 1
```

---

No. 6
Here is a relaxed structure of Na2Sc2In2CuAg from OQMD. Energies are from PBE.

- Uncorrected energy: -28.01 eV per cell
- ρ: 5.65 g cm⁻³
- Space-group type: No. 115

```
data_Na2Sc2In2CuAg
_space_group_name_H-M_alt 'P 1'
_space_group_IT_number 1
_space_group_name_Hall 'P 1'
_cell_length_a 4.7983
_cell_length_b 4.7983
_cell_length_c 6.8495
_cell_angle_alpha 90.00
_cell_angle_beta 90.00
_cell_angle_gamma 90.00
loop_
_atom_site_label
_atom_site_type_symbol
_atom_site_fract_x
_atom_site_fract_y
_atom_site_fract_z
_atom_site_occupancy
In1 In 0.5000 0.0000 0.2585 1
Sc1 Sc 0.0000 0.5000 0.2605 1
In2 In 0.0000 0.5000 0.7415 1
Na1 Na 0.0000 0.0000 0.5000 1
Sc2 Sc 0.5000 0.0000 0.7395 1
Cu1 Cu 0.5000 0.5000 0.5000 1
Na2 Na 0.5000 0.5000 0.0000 1
Ag1 Ag 0.0000 0.0000 0.0000 1
```

---

No. 7
Here is a relaxed structure of SrLuAu from OQMD. Energies are from PBE.

- Uncorrected energy: -10.46 eV per cell
- ρ: 8.13 g cm⁻³
- Space-group type: No. 216

```
data_SrLuAu
_space_group_name_H-M_alt 'P 1'
_space_group_IT_number 1
_space_group_name_Hall 'P 1'
_cell_length_a 5.1009
_cell_length_b 5.1009
_cell_length_c 5.1009
_cell_angle_alpha 60.00
_cell_angle_beta 60.00
_cell_angle_gamma 60.00
loop_
_atom_site_label
_atom_site_type_symbol
_atom_site_fract_x
_atom_site_fract_y
_atom_site_fract_z
_atom_site_occupancy
Au1 Au 0.0000 0.0000 0.0000 1
Lu1 Lu 0.2500 0.2500 0.2500 1
Sr1 Sr 0.7500 0.7500 0.7500 1
```

---

No. 8
Here is a relaxed structure of Hf2ZrZn from OQMD. Energies are from PBE.

- Uncorrected energy: -29.40 eV per cell
- ρ: 10.61 g cm⁻³
- Space-group type: No. 216

```
data_Hf2ZrZn
_space_group_name_H-M_alt 'P 1'
_space_group_IT_number 1
_space_group_name_Hall 'P 1'
_cell_length_a 4.8443
_cell_length_b 4.8443
_cell_length_c 4.8443
_cell_angle_alpha 60.00
_cell_angle_beta 60.00
_cell_angle_gamma 60.00
loop_
_atom_site_label
_atom_site_type_symbol
_atom_site_fract_x
_atom_site_fract_y
_atom_site_fract_z
_atom_site_occupancy
Zr1 Zr 0.2500 0.2500 0.2500 1
Zn1 Zn 0.5000 0.5000 0.5000 1
Hf1 Hf 0.7500 0.7500 0.7500 1
Hf2 Hf 0.0000 0.0000 0.0000 1
```

---

No. 9
Here is a relaxed structure of Hf3HgC from OQMD. Energies are from PBE.

- Uncorrected energy: -41.68 eV per cell
- ρ: 13.36 g cm⁻³
- Space-group type: No. 160

```
data_Hf3HgC
_space_group_name_H-M_alt 'P 1'
_space_group_IT_number 1
_space_group_name_Hall 'P 1'
_cell_length_a 10.1796
_cell_length_b 10.1796
_cell_length_c 10.1796
_cell_angle_alpha 18.52
_cell_angle_beta 18.52
_cell_angle_gamma 18.52
loop_
_atom_site_label
_atom_site_type_symbol
_atom_site_fract_x
_atom_site_fract_y
_atom_site_fract_z
_atom_site_occupancy
Hf1 Hf 0.3046 0.3046 0.3046 1
Hg1 Hg 0.8894 0.8894 0.8894 1
C1 C 0.1007 0.1007 0.1007 1
Hf2 Hf 0.7213 0.7213 0.7213 1
Hf3 Hf 0.4734 0.4734 0.4734 1
```

---

No. 10
Here is a relaxed structure of ScTaCuPb from OQMD. Energies are from PBE.

- Uncorrected energy: -23.45 eV per cell
- ρ: 10.31 g cm⁻³
- Space-group type: No. 216

```
data_ScTaCuPb
_space_group_name_H-M_alt 'P 1'
_space_group_IT_number 1
_space_group_name_Hall 'P 1'
_cell_length_a 4.8358
_cell_length_b 4.8358
_cell_length_c 4.8358
_cell_angle_alpha 60.00
_cell_angle_beta 60.00
_cell_angle_gamma 60.00
loop_
_atom_site_label
_atom_site_type_symbol
_atom_site_fract_x
_atom_site_fract_y
_atom_site_fract_z
_atom_site_occupancy
Pb1 Pb 0.0000 0.0000 0.0000 1
Ta1 Ta 0.2500 0.2500 0.2500 1
Sc1 Sc 0.5000 0.5000 0.5000 1
Cu1 Cu 0.7500 0.7500 0.7500 1
```

---

No. 11
Here is a relaxed structure of MgNbGaFe from OQMD. Energies are from PBE.

- Uncorrected energy: -22.04 eV per cell
- ρ: 6.40 g cm⁻³
- Space-group type: No. 216

```
data_MgNbGaFe
_space_group_name_H-M_alt 'P 1'
_space_group_IT_number 1
_space_group_name_Hall 'P 1'
_cell_length_a 4.4653
_cell_length_b 4.4653
_cell_length_c 4.4653
_cell_angle_alpha 60.00
_cell_angle_beta 60.00
_cell_angle_gamma 60.00
loop_
_atom_site_label
_atom_site_type_symbol
_atom_site_fract_x
_atom_site_fract_y
_atom_site_fract_z
_atom_site_occupancy
Ga1 Ga 0.0000 0.0000 0.0000 1
Mg1 Mg 0.5000 0.5000 0.5000 1
Nb1 Nb 0.2500 0.2500 0.2500 1
Fe1 Fe 0.7500 0.7500 0.7500 1
```

---

No. 12
Here is a relaxed structure of K3NaZn2Ge2 from OQMD. Energies are from PBE.

- Uncorrected energy: -17.46 eV per cell
- ρ: 2.88 g cm⁻³
- Space-group type: No. 6

```
data_K3NaZn2Ge2
_space_group_name_H-M_alt 'P 1'
_space_group_IT_number 1
_space_group_name_Hall 'P 1'
_cell_length_a 6.3737
_cell_length_b 5.9969
_cell_length_c 6.5005
_cell_angle_alpha 90.00
_cell_angle_beta 105.15
_cell_angle_gamma 90.00
loop_
_atom_site_label
_atom_site_type_symbol
_atom_site_fract_x
_atom_site_fract_y
_atom_site_fract_z
_atom_site_occupancy
Zn1 Zn 0.4991 0.7495 0.5064 1
K1 K 0.3197 0.5000 0.9768 1
Ge1 Ge 0.2726 0.0000 0.2432 1
Zn2 Zn 0.4991 0.2505 0.5064 1
Ge2 Ge 0.7473 0.5000 0.7517 1
K2 K 0.9614 0.5000 0.3061 1
Na1 Na 0.6726 0.0000 0.0230 1
K3 K 0.0283 0.0000 0.6863 1
```